! UCoNiIr (PBE-GGA, optimized geometry); values from VASP
! Polymorph energy (0 for the lowest one), eV per atom: 0.350
! Energy relative to the elements, eV/atom: -0.062
! Space-group type: F-43m (216)
&SYSTEM
  ibrav = 0, nat = 4, ntyp = 4
/
ATOMIC_SPECIES
U 238.03 U.upf
Ir 192.22 Ir.upf
Ni 58.69 Ni.upf
Co 58.93 Co.upf
CELL_PARAMETERS angstrom
4.431 0.000 0.000
2.215 3.837 0.000
2.215 1.279 3.618
ATOMIC_POSITIONS crystal
U 0.000 0.000 0.000
Ir 0.750 0.750 0.750
Ni 0.500 0.500 0.500
Co 0.250 0.250 0.250


! UCoNiIr (PBE-GGA, optimized geometry); values from VASP
! Polymorph energy (0 for the lowest one), eV per atom: 0.000
! Energy relative to the elements, eV/atom: -0.412
! Space-group type: Pmmm (47)
&SYSTEM
  ibrav = 0, nat = 4, ntyp = 4
/
ATOMIC_SPECIES
Ir 192.22 Ir.upf
Co 58.93 Co.upf
U 238.03 U.upf
Ni 58.69 Ni.upf
CELL_PARAMETERS angstrom
-0.232 -2.974 -2.401
3.361 -1.290 1.273
-1.887 -2.130 2.821
ATOMIC_POSITIONS crystal
Ir 0.500 0.500 0.000
Co 0.000 0.500 0.500
U 0.500 0.000 0.500
Ni 0.000 0.000 0.000


Repeat the second record exactly.
! UCoNiIr (PBE-GGA, optimized geometry); values from VASP
! Polymorph energy (0 for the lowest one), eV per atom: 0.000
! Energy relative to the elements, eV/atom: -0.412
! Space-group type: Pmmm (47)
&SYSTEM
  ibrav = 0, nat = 4, ntyp = 4
/
ATOMIC_SPECIES
Ir 192.22 Ir.upf
Co 58.93 Co.upf
U 238.03 U.upf
Ni 58.69 Ni.upf
CELL_PARAMETERS angstrom
-0.232 -2.974 -2.401
3.361 -1.290 1.273
-1.887 -2.130 2.821
ATOMIC_POSITIONS crystal
Ir 0.500 0.500 0.000
Co 0.000 0.500 0.500
U 0.500 0.000 0.500
Ni 0.000 0.000 0.000


Question: Number 1 is which compound?
Answer: UCoNiIr


Copy entry 2 word for word.
! UCoNiIr (PBE-GGA, optimized geometry); values from VASP
! Polymorph energy (0 for the lowest one), eV per atom: 0.000
! Energy relative to the elements, eV/atom: -0.412
! Space-group type: Pmmm (47)
&SYSTEM
  ibrav = 0, nat = 4, ntyp = 4
/
ATOMIC_SPECIES
Ir 192.22 Ir.upf
Co 58.93 Co.upf
U 238.03 U.upf
Ni 58.69 Ni.upf
CELL_PARAMETERS angstrom
-0.232 -2.974 -2.401
3.361 -1.290 1.273
-1.887 -2.130 2.821
ATOMIC_POSITIONS crystal
Ir 0.500 0.500 0.000
Co 0.000 0.500 0.500
U 0.500 0.000 0.500
Ni 0.000 0.000 0.000


Please write out number 1 again, unchanged.
! UCoNiIr (PBE-GGA, optimized geometry); values from VASP
! Polymorph energy (0 for the lowest one), eV per atom: 0.350
! Energy relative to the elements, eV/atom: -0.062
! Space-group type: F-43m (216)
&SYSTEM
  ibrav = 0, nat = 4, ntyp = 4
/
ATOMIC_SPECIES
U 238.03 U.upf
Ir 192.22 Ir.upf
Ni 58.69 Ni.upf
Co 58.93 Co.upf
CELL_PARAMETERS angstrom
4.431 0.000 0.000
2.215 3.837 0.000
2.215 1.279 3.618
ATOMIC_POSITIONS crystal
U 0.000 0.000 0.000
Ir 0.750 0.750 0.750
Ni 0.500 0.500 0.500
Co 0.250 0.250 0.250